# 1
Computed, not measured: a geometry-optimized CdTe2Ir structure at the PBE-GGA level of DFT.

Cell: 4.8949 4.8949 3.8045 Å, 90.00 90.00 102.71°
Closest atoms and distances in Å follow each position.
Sites, in units of the cell vectors:
Ir1 0.0000 0.5000 0.5000  2 Cd 3.06, 8 Te 3.10
Te1 0.0000 0.0000 0.0000  2 Te 3.06, 4 Cd 3.10, 4 Ir 3.10
Te2 0.5000 0.5000 0.0000  2 Te 3.06, 4 Ir 3.10, 4 Cd 3.10
Cd1 0.5000 0.0000 0.5000  2 Ir 3.06, 8 Te 3.10

Values from the calculation:
Formation energy (no corrections)   0.4553 eV per atom
Uncorrected energy   -3.56 eV/atom
Calculated density   10.45 g/cm3
N(E_F)   2.2 states/eV/f.u.
Space-group type   Cmmm



# 2
Computed, not measured: a geometry-optimized Tb5ZrGe4 structure at the PBE-GGA level of DFT.

Cell: 4.1929 7.5958 9.5248 Å, 113.26 102.72 90.00°
Closest atoms and distances in Å follow each position.
Sites, in units of the cell vectors:
Tb1 0.8344 0.5842 0.6689  3 Ge 2.81-2.86
Tb2 0.8350 0.0940 0.6701  4 Ge 2.81-3.14
Tb3 0.1650 0.9060 0.3299  4 Ge 2.81-3.14
Tb4 0.5000 0.5000 0.0000  4 Ge 2.88
Tb5 0.1656 0.4158 0.3311  3 Ge 2.81-2.86
Zr1 0.5000 0.0000 0.0000  4 Ge 2.78
Ge1 0.3170 0.8208 0.6341  5 Tb 2.86-3.14, 1 Zr 3.11
Ge2 0.9996 0.7602 0.9992  2 Zr 2.78, 4 Tb 2.81-2.88
Ge3 0.6830 0.1792 0.3659  5 Tb 2.86-3.14, 1 Zr 3.11
Ge4 0.0004 0.2398 0.0008  2 Zr 2.78, 4 Tb 2.81-2.88

Values from the calculation:
Uncorrected energy   -5.59 eV/atom
Calculated density   7.22 g/cm3
Formation energy   -571 meV/atom
N(E_F)   5.0 states/eV/f.u.
Space-group type   C2/m



# 3
Computed, not measured: a geometry-optimized HfNiSb2Te structure at the PBE-GGA level of DFT.

Cell: 4.8969 4.8969 5.1187 Å, 90.00 90.00 90.00°
Closest atoms and distances in Å follow each position.
Sites, in units of the cell vectors:
Sb1 0.0000 0.5000 0.0000  2 Ni 2.45
Sb2 0.5000 0.0000 0.0000  2 Ni 2.45
Te1 0.0000 0.0000 0.5000  2 Ni 2.56
Hf1 0.5000 0.5000 0.5000  4 Te 3.46, 8 Sb 3.54
Ni1 0.0000 0.0000 0.0000  4 Sb 2.45, 2 Te 2.56

Values from the calculation:
Formation energy (no corrections)   0.3837 eV per atom
Uncorrected energy   -5.04 eV/atom
Calculated density   8.23 g/cm3
Excess energy over the best structure of this formula in the dataset   0.000 eV/f.u.
N(E_F)   4.6 states/eV/f.u.
Space-group type   P4/mmm



# 4
Computed, not measured: a geometry-optimized LiP3Ru structure at the PBE-GGA level of DFT.

Cell: 4.6328 4.6328 4.6328 Å, 90.00 90.00 90.00°
Closest atoms and distances in Å follow each position.
Sites, in units of the cell vectors:
Ru1 0.0000 0.0000 0.0000  6 P 2.32
Li1 0.5000 0.5000 0.5000  12 P 3.28
P1 0.0000 0.5000 0.0000  2 Ru 2.32
P2 0.0000 0.0000 0.5000  2 Ru 2.32
P3 0.5000 0.0000 0.0000  2 Ru 2.32

Values from the calculation:
Uncorrected energy   -5.06 eV/atom
Calculated density   3.36 g/cm3
Excess energy over the best structure of this formula in the dataset   0.000 eV/f.u.
Formation energy   426 meV/atom
N(E_F)   4.7 states/eV/f.u.
Space-group type   Pm-3m